First-principles (GGA-PBE) data for an optimized crystal structure of Er5TlFe2, as listed in Alexandria.

```
Er5TlFe2
1.0
6.620 0.000 -3.125
-1.475 6.454 -3.125
0.158 0.198 8.909
Tl Er Fe
2 10 4
direct
0.250 0.250 0.500
0.750 0.750 0.500
0.000 0.000 0.000
0.454 0.307 0.261
0.954 0.454 0.261
0.307 0.807 0.261
0.046 0.546 0.739
0.500 0.500 0.000
0.193 0.046 0.739
0.693 0.193 0.739
0.546 0.693 0.739
0.807 0.954 0.261
0.107 0.393 0.000
0.393 0.893 0.000
0.893 0.607 0.000
0.607 0.107 0.000
```

Values from the calculation:
crystal system = tetragonal
volume = 24.3 A^3/atom
ΔE_f = -0.133 eV/atom